1.
A plane-wave DFT calculation with PBE-GGA was carried out for a relaxed CeSmGdIn crystal.

Output
raw total energy = -0.2556 Ha/atom
calculated volume = 28.711 Å³/atom
SG = F-43m, No. 216
DFT formation energy = -0.354 eV/f.u.
mass density = 8.1 g/cm³

a = 5.4560 Å, b = 5.4560 Å, c = 5.4560 Å
α = 60.00°, β = 60.00°, γ = 60.00°
With the nearest neighbours (Å) after each atom.
Fractional positions:
Ce1 0.0000 0.0000 0.0000  4 Sm 3.34, 4 Gd 3.34
Sm1 0.2500 0.2500 0.2500  4 In 3.34, 4 Ce 3.34
In1 0.5000 0.5000 0.5000  4 Gd 3.34, 4 Sm 3.34
Gd1 0.7500 0.7500 0.7500  4 In 3.34, 4 Ce 3.34

=====

2.
A plane-wave DFT calculation with PBE-GGA was carried out for a relaxed Mg2In2Hg4Pb3 crystal.

Output
raw total energy = -0.0707 Ha/atom
calculated volume = 27.378 Å³/atom
SG = P-3m1, No. 164
DFT formation energy = -0.152 eV/f.u.
mass density = 9.4 g/cm³

a = 5.2791 Å, b = 5.2791 Å, c = 12.4781 Å
α = 90.00°, β = 90.00°, γ = 120.00°
With the nearest neighbours (Å) after each atom.
Fractional positions:
Mg1 0.6667 0.3333 0.8821  5 Hg 3.04-3.07, 3 Pb 3.38
Mg2 0.3333 0.6667 0.1179  5 Hg 3.04-3.07, 3 Pb 3.38
Pb1 0.0000 0.0000 0.2689  6 Hg 3.27-3.53, 1 Pb 3.36, 3 In 3.41, 3 Mg 3.58
Pb2 0.0000 0.0000 0.7311  6 Hg 3.27-3.53, 1 Pb 3.36, 3 In 3.41, 3 Mg 3.58
Pb3 0.0000 0.0000 0.0000  2 Pb 3.36, 6 Mg 3.38, 6 Hg 3.43
In1 0.6667 0.3333 0.3916  5 Hg 3.05-3.32, 3 Pb 3.41
In2 0.3333 0.6667 0.6084  5 Hg 3.05-3.32, 3 Pb 3.41
Hg1 0.6667 0.3333 0.1258  4 Mg 3.04-3.05, 1 In 3.32
Hg2 0.6667 0.3333 0.6362  4 In 3.05-3.07, 1 Mg 3.07, 3 Pb 3.27
Hg3 0.3333 0.6667 0.3638  4 In 3.05-3.07, 1 Mg 3.07, 3 Pb 3.27
Hg4 0.3333 0.6667 0.8742  4 Mg 3.04-3.05, 1 In 3.32

=====

3.
A plane-wave DFT calculation with PBE-GGA was carried out for a relaxed Zn2IrOs crystal.

Output
raw total energy = -0.2004 Ha/atom
calculated volume = 13.967 Å³/atom
SG = P4/mmm, No. 123
E above lowest polymorph = 0.77 eV/f.u.
DFT formation energy = 0.822 eV/f.u.
mass density = 15.3 g/cm³

a = 3.0080 Å, b = 3.0080 Å, c = 6.1744 Å
α = 90.00°, β = 90.00°, γ = 90.00°
With the nearest neighbours (Å) after each atom.
Fractional positions:
Ir1 0.5000 0.5000 0.2500  8 Zn 2.62
Os1 0.5000 0.5000 0.7500  8 Zn 2.64
Zn1 0.0000 0.0000 0.0032  4 Ir 2.62, 4 Os 2.64
Zn2 0.0000 0.0000 0.4968  4 Ir 2.62, 4 Os 2.64

=====

4.
A plane-wave DFT calculation with PBE-GGA was carried out for a relaxed Pm4SmY15 crystal.

Output
raw total energy = -0.2210 Ha/atom
calculated volume = 32.903 Å³/atom
SG = P4/mmm, No. 123
DFT formation energy = 0.401 eV/f.u.
mass density = 5.2 g/cm³

a = 5.0915 Å, b = 5.0915 Å, c = 25.3846 Å
α = 90.00°, β = 90.00°, γ = 90.00°
With the nearest neighbours (Å) after each atom.
Fractional positions:
Y1 0.5000 0.5000 0.6001  8 Y 3.60, 4 Pm 3.60
Y2 0.0000 0.5000 0.2999  4 Pm 3.60, 8 Y 3.60
Y3 0.0000 0.5000 0.9002  2 Sm 3.59, 8 Y 3.59-3.60, 2 Pm 3.60
Y4 0.5000 0.5000 0.1998  8 Y 3.60, 4 Pm 3.60
Y5 0.0000 0.5000 0.7001  4 Pm 3.60, 8 Y 3.60
Y6 0.5000 0.0000 0.0998  2 Sm 3.59, 8 Y 3.59-3.60, 2 Pm 3.60
Y7 0.0000 0.5000 0.0998  2 Sm 3.59, 8 Y 3.59-3.60, 2 Pm 3.60
Y8 0.5000 0.0000 0.2999  4 Pm 3.60, 8 Y 3.60
Y9 0.5000 0.5000 0.3999  8 Y 3.60, 4 Pm 3.60
Y10 0.5000 0.0000 0.7001  4 Pm 3.60, 8 Y 3.60
Y11 0.5000 0.5000 0.0000  8 Y 3.59, 4 Sm 3.60
Y12 0.0000 0.5000 0.5000  8 Y 3.60, 4 Pm 3.60
Y13 0.5000 0.0000 0.5000  8 Y 3.60, 4 Pm 3.60
Y14 0.5000 0.5000 0.8002  8 Y 3.60, 4 Pm 3.60
Y15 0.5000 0.0000 0.9002  2 Sm 3.59, 8 Y 3.59-3.60, 2 Pm 3.60
Pm1 0.0000 0.0000 0.1999  12 Y 3.60
Pm2 0.0000 0.0000 0.3999  12 Y 3.60
Pm3 0.0000 0.0000 0.6001  12 Y 3.60
Pm4 0.0000 0.0000 0.8001  12 Y 3.60
Sm1 0.0000 0.0000 0.0000  12 Y 3.59-3.60

=====

Which of these has the lowest raw total energy? CeSmGdIn

=====

Repeat the third record exactly.
A plane-wave DFT calculation with PBE-GGA was carried out for a relaxed Zn2IrOs crystal.

Output
raw total energy = -0.2004 Ha/atom
calculated volume = 13.967 Å³/atom
SG = P4/mmm, No. 123
E above lowest polymorph = 0.77 eV/f.u.
DFT formation energy = 0.822 eV/f.u.
mass density = 15.3 g/cm³

a = 3.0080 Å, b = 3.0080 Å, c = 6.1744 Å
α = 90.00°, β = 90.00°, γ = 90.00°
With the nearest neighbours (Å) after each atom.
Fractional positions:
Ir1 0.5000 0.5000 0.2500  8 Zn 2.62
Os1 0.5000 0.5000 0.7500  8 Zn 2.64
Zn1 0.0000 0.0000 0.0032  4 Ir 2.62, 4 Os 2.64
Zn2 0.0000 0.0000 0.4968  4 Ir 2.62, 4 Os 2.64

=====

Number 4 is which compound? Pm4SmY15

=====

DFT formation energy of number 3 (Zn2IrOs)? 0.822 eV/f.u.